Record 1
Entry from the Alexandria database: NaAc2Tl6 after structural relaxation (PBE-GGA).

Values from the calculation:
- Calculated formation energy: -193 meV/atom
- VASP energy: -2.830 eV/atom
- Offset from the most stable computed form: 51.4 meV per atom

Cell and atoms, written as POSCAR:
```
NaAc2Tl6
1.0
8.1491 -4.7057 0.0000
8.1491 4.7057 0.0000
-0.0005 0.0000 3.7420
Na Ac Tl
1 2 6
direct
0.0000 0.0000 0.0000
0.3333 0.3333 0.0000
0.6667 0.6667 0.0000
0.0000 0.3309 0.4986
0.0000 0.6691 0.5014
0.3309 0.0000 0.4986
0.3309 0.6691 0.5000
0.6691 0.0000 0.5014
0.6691 0.3309 0.5000
```

***

Record 2
Entry from the Alexandria database: CrCoN2 after structural relaxation (PBE-GGA).

Values from the calculation:
- Formation energy without anion corrections: -0.0992 eV per atom
- VASP energy: -8.444 eV/atom
- Offset from the most stable computed form: 129.1 meV per atom

Cell and atoms, written as POSCAR:
```
CrCoN2
1.0
2.6549 -1.4192 0.0000
2.6549 1.4192 0.0000
-0.2195 0.0000 5.0314
Cr Co N
1 1 2
direct
0.0000 0.0000 0.0000
0.2562 0.2562 0.4474
0.3043 0.3043 0.8250
0.5746 0.5746 0.3000
```

***

Record 3
Entry from the Alexandria database: FeCu2Se after structural relaxation (PBE-GGA).

Values from the calculation:
- Formation energy without anion corrections: 0.1676 eV per atom
- VASP energy: -4.867 eV/atom

Cell and atoms, written as POSCAR:
```
FeCu2Se
1.0
3.1162 0.0000 0.0000
0.0000 3.1367 0.0000
0.0000 0.0000 5.4977
Fe Cu Se
1 2 1
direct
0.0000 0.0000 0.0000
0.0000 0.0000 0.4816
0.5000 0.5000 0.2671
0.5000 0.5000 0.8014
```

***

Record 4
Entry from the Alexandria database: LiEuGaRh after structural relaxation (PBE-GGA).

Values from the calculation:
- Calculated formation energy: -365 meV/atom
- VASP energy: -6.007 eV/atom

Cell and atoms, written as POSCAR:
```
LiEuGaRh
1.0
0.0000 3.3297 3.3297
3.3297 0.0000 3.3297
3.3297 3.3297 0.0000
Li Eu Ga Rh
1 1 1 1
direct
0.0000 0.0000 0.0000
0.7500 0.7500 0.7500
0.2500 0.2500 0.2500
0.5000 0.5000 0.5000
```